# 1
The following is a DFT calculation (PBE) of crystalline LaTb5Bi6 at its relaxed geometry.

Results
As for the space group: C2/m, No. 12. Its final energy is -62.22 eV/f.u.

Lattice parameters (Å, degrees): 7.8488 7.8488 7.8482 99.62 99.62 120.00
Fractional coordinates of all 12 atoms:
La 0.0000 0.0000 0.0000
Tb 0.1638 0.8362 0.5000
Tb 0.3322 0.6678 0.0000
Tb 0.5000 0.5000 0.5000
Tb 0.6678 0.3322 0.0000
Tb 0.8362 0.1638 0.5000
Bi 0.0853 0.4251 0.2550
Bi 0.2564 0.2564 0.7482
Bi 0.4251 0.0853 0.2550
Bi 0.5749 0.9147 0.7450
Bi 0.7436 0.7436 0.2518
Bi 0.9147 0.5749 0.7450

***

# 2
The following is a DFT calculation (PBE) of crystalline PuMgCuRh at its relaxed geometry.

Results
As for the space group: F-43m, No. 216. Its final energy is -28.03 eV/f.u.

Lattice parameters (Å, degrees): 4.7159 4.7159 4.7159 60.00 60.00 60.00
Fractional coordinates of all 4 atoms:
Pu 0.0000 0.0000 0.0000
Mg 0.5000 0.5000 0.5000
Cu 0.7500 0.7500 0.7500
Rh 0.2500 0.2500 0.2500

***

# 3
The following is a DFT calculation (PBE) of crystalline Ho8AlBi2 at its relaxed geometry.

Results
As for the space group: C2/m, No. 12. Its final energy is -51.05 eV/f.u.

Lattice parameters (Å, degrees): 9.9304 9.9304 6.7803 102.34 102.34 29.82
Fractional coordinates of all 11 atoms:
Ho 0.0130 0.0130 0.2671
Ho 0.2141 0.2141 0.8418
Ho 0.3453 0.3453 0.4725
Ho 0.4106 0.4106 0.0204
Ho 0.5894 0.5894 0.9796
Ho 0.6547 0.6547 0.5275
Ho 0.7859 0.7859 0.1582
Ho 0.9870 0.9870 0.7329
Al 0.5000 0.5000 0.5000
Bi 0.1781 0.1781 0.2794
Bi 0.8219 0.8219 0.7206

***

# 4
The following is a DFT calculation (PBE) of crystalline SmGd2Zn at its relaxed geometry.

Results
As for the space group: P4/mmm, No. 123. Its polymorph energy (0 for the lowest one) is 0.0 kJ/mol of atoms.

Lattice parameters (Å, degrees): 3.5982 3.5982 8.7636 90.00 90.00 90.00
Fractional coordinates of all 4 atoms:
Sm 0.0000 0.0000 0.0000
Gd 0.5000 0.5000 0.2943
Gd 0.5000 0.5000 0.7057
Zn 0.0000 0.0000 0.5000

***

| no. | volume (Å³/cell) |
| --- | --- |
| 1 | 394.6 |
| 2 | 74.2 |
| 3 | 324.2 |
| 4 | 113.5 |